GGA-PBE PaV2Si, optimized geometry; formation energy without anion corrections = -0.22 eV/atom; energy = -8.51 eV per atom; crystal system = cubic; polymorph energy (0 for the lowest one) = 0.0 kJ per mole of atoms
1.0
0.000 3.145 3.145
3.145 0.000 3.145
3.145 3.145 0.000
Pa V Si
1 2 1
Cartesian
0.000 0.000 0.000 Pa
1.573 1.573 1.573 V
4.718 4.718 4.718 V
3.145 3.145 3.145 Si